(1)
{"formula": "NiBi6PdAu2", "functional": "PBE", "state": "optimized geometry", "ef_ev_per_atom": -0.062, "rho_g_cm3": 11.7, "magnetic_moment_mub_per_cell": 0.0, "lattice_angstrom": [[-0.9055, 7.4630, 0.0029], [-6.6916, -0.8124, 1.2607], [1.7306, 0.9100, 9.7721]], "species": ["Bi", "Pd", "Bi", "Bi", "Bi", "Bi", "Bi", "Bi", "Bi", "Bi", "Ni", "Au", "Au", "Bi", "Au", "Au", "Bi", "Bi", "Pd", "Ni"], "frac_coords": [[0.1449, 0.1592, 0.0816], [0.0000, 0.5000, 0.5000], [0.6743, 0.9873, 0.2549], [0.7963, 0.8327, 0.5778], [0.8551, 0.8408, 0.9184], [0.3551, 0.6592, 0.4184], [0.6449, 0.3408, 0.5816], [0.2963, 0.6673, 0.0778], [0.8257, 0.4873, 0.2451], [0.2037, 0.1673, 0.4222], [0.5000, 0.0000, 0.5000], [0.9599, 0.1632, 0.6988], [0.4599, 0.3368, 0.1988], [0.3257, 0.0127, 0.7451], [0.5401, 0.6632, 0.8012], [0.0401, 0.8368, 0.3012], [0.1743, 0.5127, 0.7549], [0.7037, 0.3327, 0.9222], [0.5000, 0.0000, 0.0000], [0.0000, 0.5000, 0.0000]]}


(2)
{"formula": "PmNiBiAu", "functional": "PBE", "state": "optimized geometry", "ef_ev_per_atom": -0.344, "rho_g_cm3": 11.5, "magnetic_moment_mub_per_cell": 0.0, "lattice_angstrom": [[4.9968, 0.0000, 0.0000], [2.4984, 4.3274, 0.0000], [2.4984, 1.4425, 4.0799]], "species": ["Pm", "Au", "Ni", "Bi"], "frac_coords": [[0.5000, 0.5000, 0.5000], [0.7500, 0.7500, 0.7500], [0.2500, 0.2500, 0.2500], [0.0000, 0.0000, 0.0000]]}


(3)
{"formula": "RbNi2BiAu", "functional": "PBE", "state": "optimized geometry", "ef_ev_per_atom": 0.717, "rho_g_cm3": 7.3, "magnetic_moment_mub_per_cell": 1.5, "lattice_angstrom": [[-4.8539, 1.1231, -0.9238], [-0.2269, -3.9918, -3.6606], [-1.4386, -3.2390, 3.6213]], "species": ["Bi", "Au", "Rb", "Ni", "Ni"], "frac_coords": [[0.0000, 0.5000, 0.0000], [0.0000, 0.0000, 0.0000], [0.5000, 0.5000, 0.5000], [0.5000, 0.0000, 0.0000], [0.0000, 0.0000, 0.5000]]}


(4)
{"formula": "ReNiBi2Au", "functional": "PBE", "state": "optimized geometry", "ef_ev_per_atom": 1.188, "rho_g_cm3": 11.9, "magnetic_moment_mub_per_cell": 3.3, "lattice_angstrom": [[4.9774, 0.0000, 0.0000], [0.0000, 4.8284, 0.0000], [0.0000, 0.0000, 4.9774]], "species": ["Re", "Au", "Bi", "Bi", "Ni"], "frac_coords": [[0.5000, 0.5000, 0.5000], [0.0000, 0.5000, 0.0000], [0.0000, 0.0000, 0.5000], [0.5000, 0.0000, 0.0000], [0.0000, 0.0000, 0.0000]]}


(5)
{"formula": "NiBiRhAu", "functional": "PBE", "state": "optimized geometry", "ef_ev_per_atom": 0.107, "rho_g_cm3": 13.7, "magnetic_moment_mub_per_cell": 0.0, "lattice_angstrom": [[-1.6417, 1.5198, -4.0182], [-3.9791, -1.6362, -1.6251], [-3.7277, 2.6920, -0.0907]], "species": ["Ni", "Au", "Bi", "Rh"], "frac_coords": [[0.2500, 0.2500, 0.2500], [0.5000, 0.5000, 0.5000], [0.0000, 0.0000, 0.0000], [0.7500, 0.7500, 0.7500]]}


(6)
{"formula": "NiBi2RuAu", "functional": "PBE", "state": "optimized geometry", "ef_ev_per_atom": 1.324, "rho_g_cm3": 9.4, "magnetic_moment_mub_per_cell": 2.6, "lattice_angstrom": [[5.4032, 0.0000, 0.0000], [0.0000, 4.6762, 0.0000], [0.0000, 0.0000, 5.4032]], "species": ["Ru", "Ni", "Au", "Bi", "Bi"], "frac_coords": [[0.5000, 0.5000, 0.5000], [0.0000, 0.5000, 0.0000], [0.0000, 0.0000, 0.0000], [0.0000, 0.0000, 0.5000], [0.5000, 0.0000, 0.0000]]}


(7)
{"formula": "NiBiSbAu2", "functional": "PBE", "state": "optimized geometry", "e_form_raw_ev_per_atom": 0.986, "rho_g_cm3": 8.1, "magnetic_moment_mub_per_cell": 0.8, "lattice_angstrom": [[-1.2826, 1.5194, -4.6413], [-6.0121, -1.4493, 1.1870], [-0.7818, 4.6729, 1.7458]], "species": ["Sb", "Au", "Ni", "Bi", "Au"], "frac_coords": [[0.0000, 0.0000, 0.0000], [0.5000, 0.0000, 0.0000], [0.5000, 0.5000, 0.5000], [0.0000, 0.5000, 0.0000], [0.0000, 0.0000, 0.5000]]}


(8)
{"formula": "YNiBiAu2", "functional": "PBE", "state": "optimized geometry", "ef_ev_per_atom": 0.359, "rho_g_cm3": 9.2, "magnetic_moment_mub_per_cell": 0.0, "lattice_angstrom": [[5.3370, 0.0000, 0.0000], [0.0000, 4.7314, 0.0000], [0.0000, 0.0000, 5.3370]], "species": ["Ni", "Bi", "Y", "Au", "Au"], "frac_coords": [[0.0000, 0.5000, 0.0000], [0.0000, 0.0000, 0.0000], [0.5000, 0.5000, 0.5000], [0.0000, 0.0000, 0.5000], [0.5000, 0.0000, 0.0000]]}


(9)
{"formula": "NpBi2Au9", "functional": "PBE", "state": "optimized geometry", "ef_ev_per_atom": -0.047, "rho_g_cm3": 15.5, "magnetic_moment_mub_per_cell": 4.8, "lattice_angstrom": [[5.3889, 0.0000, 1.6038], [2.4558, 4.7968, 1.6038], [-0.0504, -0.0308, 10.0246]], "species": ["Au", "Np", "Au", "Au", "Au", "Au", "Au", "Au", "Au", "Bi", "Au", "Bi"], "frac_coords": [[0.9193, 0.4162, 0.2483], [0.0000, 0.0000, 0.0000], [0.6670, 0.6670, 0.9991], [0.4162, 0.9193, 0.2483], [0.5838, 0.0807, 0.7517], [0.4162, 0.4162, 0.2483], [0.5000, 0.5000, 0.5000], [0.0807, 0.5838, 0.7517], [0.5838, 0.5838, 0.7517], [0.1457, 0.1457, 0.5628], [0.3330, 0.3330, 0.0009], [0.8543, 0.8543, 0.4372]]}


(10)
{"formula": "NpBiAu2", "functional": "PBE", "state": "optimized geometry", "ef_ev_per_atom": -0.045, "rho_g_cm3": 14.7, "magnetic_moment_mub_per_cell": 4.5, "lattice_angstrom": [[4.3408, 0.0000, 0.0000], [0.0000, 4.6809, 0.0000], [0.0000, 0.0000, 4.6809]], "species": ["Np", "Bi", "Au", "Au"], "frac_coords": [[0.5000, 0.0000, 0.0000], [0.5000, 0.5000, 0.5000], [0.0000, 0.0000, 0.5000], [0.0000, 0.5000, 0.0000]]}


(11)
{"formula": "NpBiAu", "functional": "PBE", "state": "optimized geometry", "ef_ev_per_atom": 0.022, "rho_g_cm3": 14.4, "magnetic_moment_mub_per_cell": 4.7, "lattice_angstrom": [[3.1818, 0.0000, 0.0000], [0.0000, 5.1954, 0.0000], [0.0000, -2.5977, 4.4994]], "species": ["Au", "Bi", "Np"], "frac_coords": [[0.1654, 0.0000, 0.0000], [0.1678, 0.6667, 0.3333], [0.6668, 0.3333, 0.6667]]}


(12)
{"formula": "NpBiAu", "functional": "PBE", "state": "optimized geometry", "ef_ev_per_atom": 0.009, "rho_g_cm3": 15.1, "magnetic_moment_mub_per_cell": 5.2, "lattice_angstrom": [[3.8939, 0.0000, 0.0000], [0.0000, 5.1920, 0.0000], [0.0000, 2.5960, 6.9945]], "species": ["Np", "Bi", "Au", "Bi", "Au", "Np"], "frac_coords": [[0.2500, 0.9430, 0.1139], [0.2500, 0.2583, 0.4833], [0.2500, 0.5748, 0.8504], [0.7500, 0.7417, 0.5167], [0.7500, 0.4252, 0.1496], [0.7500, 0.0570, 0.8861]]}


Volume, record by record: 512.5; 88.2; 139.2; 119.6; 68.8; 136.5; 160.5; 134.8; 259.7; 95.1; 74.4; 141.4 Å³/cell